# 1
The following is a PBE calculation of TmZrNb after structural relaxation, from the Alexandria database.

extended XYZ file:
```
12
Lattice="3.3400 0.0000 0.0000 0.0000 3.3400 0.0000 0.0000 0.0000 26.6954" Properties=species:S:1:pos:R:3 pbc="T T T"
Tm 0.0000 0.0000 1.7260
Tm 0.0000 0.0000 24.9694
Tm 1.6700 1.6700 11.6217
Tm 1.6700 1.6700 15.0737
Zr 0.0000 0.0000 9.2895
Zr 0.0000 0.0000 17.4059
Zr 1.6700 1.6700 4.0582
Zr 1.6700 1.6700 22.6372
Nb 0.0000 0.0000 5.9370
Nb 0.0000 0.0000 20.7584
Nb 1.6700 1.6700 7.4107
Nb 1.6700 1.6700 19.2847
```

Summary:
ΔE to the lowest computed polymorph: 18 meV/atom
SG: No. 139
DOS at the Fermi energy: 21.5 states/eV per cell

=====

# 2
The following is a PBE calculation of NbCl3F after structural relaxation, from the Alexandria database.

extended XYZ file:
```
5
Lattice="4.6256 0.0000 0.0000 0.0000 4.6256 0.0000 0.0000 0.0000 4.6256" Properties=species:S:1:pos:R:3 pbc="T T T"
Nb 0.0000 0.0000 0.0000
Cl 0.0000 2.3128 2.3128
Cl 2.3128 0.0000 2.3128
Cl 2.3128 2.3128 0.0000
F 2.3128 2.3128 2.3128
```

Summary:
ΔE to the lowest computed polymorph: 2128 meV/atom
SG: No. 221
Formation energy (no corrections): 0.5068 eV per atom
DOS at the Fermi energy: 6.9 states/eV per cell